Entry 1:
The following is a PBE-GGA calculation of a relaxed structure of KAg3, from Alexandria via LeMat-Bulk.

The structure in CIF format:
```
data_KAg3
_chemical_formula_sum 'K8 Ag24'
_cell_length_a 5.516
_cell_length_b 9.659
_cell_length_c 20.312
_cell_angle_alpha 90.00
_cell_angle_beta 90.00
_cell_angle_gamma 90.00
_symmetry_space_group_name_H-M 'F m m m'
_symmetry_Int_Tables_number 69
_symmetry_space_group_name_Hall '-F 2 2'
loop_
_atom_site_label
_atom_site_type_symbol
_atom_site_fract_x
_atom_site_fract_y
_atom_site_fract_z
K1 K 0.000 0.000 0.109
Ag1 Ag 0.000 0.000 0.267
Ag2 Ag 0.250 0.250 0.000
Ag3 Ag 0.250 0.250 0.250
```

Properties
crystal system	orthorhombic



Entry 2:
The following is a PBE-GGA calculation of a relaxed structure of KAg3, from Alexandria via LeMat-Bulk.

The structure in CIF format:
```
data_KAg3
_chemical_formula_sum 'K4 Ag12'
_cell_length_a 5.865
_cell_length_b 15.213
_cell_length_c 4.628
_cell_angle_alpha 90.00
_cell_angle_beta 90.00
_cell_angle_gamma 90.00
_symmetry_space_group_name_H-M 'C m c m'
_symmetry_Int_Tables_number 63
_symmetry_space_group_name_Hall '-C 2c 2'
loop_
_atom_site_label
_atom_site_type_symbol
_atom_site_fract_x
_atom_site_fract_y
_atom_site_fract_z
K1 K 0.000 0.211 0.250
Ag1 Ag 0.000 0.397 0.750
Ag2 Ag 0.240 0.059 0.750
```

Properties
crystal system	orthorhombic



Across the entries above, DFT total energy takes the values -2.251 -2.312 eV per atom, respectively.